# PBE+U Na2CoH4Se2O10, optimized geometry
# - Final energy: -93.75 eV/cell
data_Na2CoH4Se2O10
_cell_length_a 5.949
_cell_length_b 6.189
_cell_length_c 6.677
_cell_angle_alpha 101.32
_cell_angle_beta 96.16
_cell_angle_gamma 115.51
_space_group_name_H-M_alt 'P -1'
_space_group_IT_number 2
_space_group_name_Hall '-P 1'
loop_
_atom_site_label
_atom_site_type_symbol
_atom_site_fract_x
_atom_site_fract_y
_atom_site_fract_z
_atom_site_occupancy
Na1 Na 0.107 0.311 0.273 1
Co1 Co 0.500 0.000 0.500 1
H1 H 0.176 0.818 0.122 1
H2 H 0.408 0.809 0.027 1
Se1 Se 0.294 0.383 0.782 1
O1 O 0.042 0.876 0.326 1
O2 O 0.148 0.780 0.480 1
O3 O 0.225 0.764 0.992 1
O4 O 0.318 0.259 0.986 1
O5 O 0.463 0.306 0.616 1